# 1
Compound: Fe2CoPt
Source: Alexandria via LeMat-Bulk
Functional: meta-GGA SCAN
Structure: PBEsol geometry

Calculated values
The value obtained for the formation energy from the elements is -0.233 eV per atom. For the density of states at the Fermi level, the calculation gives 3.86 states/eV/f.u. The theoretical density comes out at 12.54 g/cm3. As for the space group: I4/mmm.

```
data_Fe2CoPt
_chemical_formula_sum 'Fe2 Co1 Pt1'
_symmetry_space_group_name_H-M 'P 1'
_symmetry_Int_Tables_number 1
_symmetry_space_group_name_Hall 'P 1'
_cell_length_a 3.650
_cell_length_b 3.650
_cell_length_c 4.457
_cell_angle_alpha 114.17
_cell_angle_beta 114.17
_cell_angle_gamma 90.00
loop_
_atom_site_label
_atom_site_type_symbol
_atom_site_fract_x
_atom_site_fract_y
_atom_site_fract_z
Pt1 Pt 0.500 0.500 0.000
Fe1 Fe 0.250 0.750 0.500
Fe2 Fe 0.750 0.250 0.500
Co1 Co 0.000 0.000 0.000
```

---

# 2
Compound: Ca2YCr
Source: Alexandria via LeMat-Bulk
Functional: meta-GGA SCAN
Structure: PBEsol geometry

Calculated values
The value obtained for the formation energy from the elements is 0.281 eV per atom. For the density of states at the Fermi level, the calculation gives 2.92 states/eV/f.u. The theoretical density comes out at 3.06 g/cm3. As for the space group: P4/mmm. As for the energy above the lowest structure with this stoichiometry: 0.0000 eV/atom.

```
data_Ca2YCr
_chemical_formula_sum 'Ca2 Y1 Cr1'
_symmetry_space_group_name_H-M 'P 1'
_symmetry_Int_Tables_number 1
_symmetry_space_group_name_Hall 'P 1'
_cell_length_a 3.676
_cell_length_b 3.676
_cell_length_c 8.872
_cell_angle_alpha 90.00
_cell_angle_beta 90.00
_cell_angle_gamma 90.00
loop_
_atom_site_label
_atom_site_type_symbol
_atom_site_fract_x
_atom_site_fract_y
_atom_site_fract_z
Ca1 Ca 0.000 0.000 0.790
Ca2 Ca 0.000 0.000 0.210
Y1 Y 0.500 0.500 0.500
Cr1 Cr 0.500 0.500 0.000
```

---

# 3
Compound: La2CrTc
Source: Alexandria via LeMat-Bulk
Functional: meta-GGA SCAN
Structure: PBEsol geometry

Calculated values
The value obtained for the formation energy from the elements is 0.281 eV per atom. For the density of states at the Fermi level, the calculation gives 2.59 states/eV/f.u. The theoretical density comes out at 7.81 g/cm3. As for the space group: P4/mmm. As for the energy above the lowest structure with this stoichiometry: 0.0374 eV/atom.

```
data_La2CrTc
_chemical_formula_sum 'La2 Cr1 Tc1'
_symmetry_space_group_name_H-M 'P 1'
_symmetry_Int_Tables_number 1
_symmetry_space_group_name_Hall 'P 1'
_cell_length_a 3.576
_cell_length_b 3.576
_cell_length_c 7.115
_cell_angle_alpha 90.00
_cell_angle_beta 90.00
_cell_angle_gamma 90.00
loop_
_atom_site_label
_atom_site_type_symbol
_atom_site_fract_x
_atom_site_fract_y
_atom_site_fract_z
La1 La 0.000 0.000 0.236
La2 La 0.000 0.000 0.764
Cr1 Cr 0.500 0.500 0.500
Tc1 Tc 0.500 0.500 0.000
```

---

# 4
Compound: TcIr2Pt
Source: Alexandria via LeMat-Bulk
Functional: meta-GGA SCAN
Structure: PBEsol geometry

Calculated values
The value obtained for the formation energy from the elements is -0.129 eV per atom. For the density of states at the Fermi level, the calculation gives 3.57 states/eV/f.u. The theoretical density comes out at 19.83 g/cm3. As for the space group: C2/m. As for the energy above the lowest structure with this stoichiometry: 0.0269 eV/atom.

```
data_TcIr2Pt
_chemical_formula_sum 'Tc1 Ir2 Pt1'
_symmetry_space_group_name_H-M 'P 1'
_symmetry_Int_Tables_number 1
_symmetry_space_group_name_Hall 'P 1'
_cell_length_a 2.703
_cell_length_b 4.710
_cell_length_c 4.719
_cell_angle_alpha 99.28
_cell_angle_beta 106.64
_cell_angle_gamma 90.00
loop_
_atom_site_label
_atom_site_type_symbol
_atom_site_fract_x
_atom_site_fract_y
_atom_site_fract_z
Tc1 Tc 0.000 0.500 0.000
Ir1 Ir 0.745 0.742 0.491
Ir2 Ir 0.255 0.258 0.509
Pt1 Pt 0.500 0.000 0.000
```

---

# 5
Compound: Y2ZrIr2
Source: Alexandria via LeMat-Bulk
Functional: meta-GGA SCAN
Structure: PBEsol geometry

Calculated values
The value obtained for the formation energy from the elements is -0.877 eV per atom. For the density of states at the Fermi level, the calculation gives 3.24 states/eV/f.u. The theoretical density comes out at 10.23 g/cm3. As for the space group: P4/mbm.

```
data_Y2ZrIr2
_chemical_formula_sum 'Y4 Zr2 Ir4'
_symmetry_space_group_name_H-M 'P 1'
_symmetry_Int_Tables_number 1
_symmetry_space_group_name_Hall 'P 1'
_cell_length_a 4.312
_cell_length_b 7.014
_cell_length_c 7.014
_cell_angle_alpha 90.00
_cell_angle_beta 90.00
_cell_angle_gamma 90.00
loop_
_atom_site_label
_atom_site_type_symbol
_atom_site_fract_x
_atom_site_fract_y
_atom_site_fract_z
Zr1 Zr 0.000 0.000 0.000
Zr2 Zr 0.000 0.500 0.500
Y1 Y 0.500 0.171 0.671
Y2 Y 0.500 0.329 0.171
Y3 Y 0.500 0.829 0.329
Y4 Y 0.500 0.671 0.829
Ir1 Ir 0.000 0.137 0.363
Ir2 Ir 0.000 0.863 0.637
Ir3 Ir 0.000 0.363 0.863
Ir4 Ir 0.000 0.637 0.137
```

---

# 6
Compound: RbTlAsSe2
Source: Alexandria via LeMat-Bulk
Functional: meta-GGA SCAN
Structure: PBEsol geometry

Calculated values
For the density of states at the Fermi level, the calculation gives 4.19 states/eV/f.u. The theoretical density comes out at 5.40 g/cm3. The calculation puts the uncorrected formation energy at 0.068 eV/atom. As for the space group: P4/mmm. As for the energy above the lowest structure with this stoichiometry: 0.0000 eV/atom.

```
data_RbTlAsSe2
_chemical_formula_sum 'Rb1 Tl1 As1 Se2'
_symmetry_space_group_name_H-M 'P 1'
_symmetry_Int_Tables_number 1
_symmetry_space_group_name_Hall 'P 1'
_cell_length_a 5.301
_cell_length_b 5.504
_cell_length_c 5.504
_cell_angle_alpha 90.00
_cell_angle_beta 90.00
_cell_angle_gamma 90.00
loop_
_atom_site_label
_atom_site_type_symbol
_atom_site_fract_x
_atom_site_fract_y
_atom_site_fract_z
Rb1 Rb 0.500 0.500 0.500
Se1 Se 0.000 0.000 0.500
Se2 Se 0.000 0.500 0.000
As1 As 0.500 0.000 0.000
Tl1 Tl 0.000 0.000 0.000
```